{"formula": "CaCeY2N4", "functional": "PBE", "state": "relaxed", "lattice_angstrom": [[6.0288, 0.0000, 0.0000], [0.0000, 3.5287, 0.0000], [-1.9258, 0.0000, 5.7500]], "species": ["Ca", "Ce", "Y", "Y", "N", "N", "N", "N"], "frac_coords": [[0.0000, 0.0000, 0.0000], [0.5000, 0.5000, 0.0000], [0.0000, 0.5000, 0.5000], [0.5000, 0.0000, 0.5000], [0.2544, 0.0000, 0.7450], [0.2692, 0.5000, 0.2539], [0.7308, 0.5000, 0.7461], [0.7456, 0.0000, 0.2550]], "energy_ev_per_atom": -8.245, "space_group": "No. 10", "rho_g_cm3": 5.6}



{"formula": "Ba2CaZr", "functional": "PBE", "state": "relaxed", "lattice_angstrom": [[3.8353, 0.0000, 0.0000], [0.0000, 3.8353, 0.0000], [0.0000, 0.0000, 11.4725]], "species": ["Ba", "Ba", "Ca", "Zr"], "frac_coords": [[0.0000, 0.0000, 0.0000], [0.5000, 0.5000, 0.3109], [0.0000, 0.0000, 0.5941], [0.5000, 0.5000, 0.7838]], "energy_ev_per_atom": -3.195, "e_form_ev_per_atom": 0.403, "dos_at_fermi_per_ev_atom": 1.352, "e_above_lowest_polymorph_ev_per_fu": 0.00, "space_group": "No. 99", "rho_g_cm3": 4.0}



{"formula": "HS2Cl", "functional": "PBE", "state": "relaxed", "lattice_angstrom": [[3.3746, 0.0000, 0.0000], [-1.6873, 2.9224, 0.0000], [0.0000, 0.0000, 19.6054]], "species": ["H", "H", "H", "S", "S", "S", "S", "S", "S", "Cl", "Cl", "Cl"], "frac_coords": [[0.0000, 0.0000, 0.0000], [0.3333, 0.6667, 0.6667], [0.6667, 0.3333, 0.3333], [0.0000, 0.0000, 0.3820], [0.0000, 0.0000, 0.6180], [0.3333, 0.6667, 0.0487], [0.3333, 0.6667, 0.2846], [0.6667, 0.3333, 0.7154], [0.6667, 0.3333, 0.9513], [0.0000, 0.0000, 0.5000], [0.3333, 0.6667, 0.1667], [0.6667, 0.3333, 0.8333]], "energy_ev_per_atom": -2.508, "dos_at_fermi_per_ev_atom": 0.675, "e_above_lowest_polymorph_ev_per_fu": 3.00, "space_group": "No. 166", "rho_g_cm3": 2.6}